First-principles (PBE+U) data for an optimized crystal structure of BeMo2PbO8, as listed in the Alexandria database.

- VASP energy: -6.7152 eV/atom
- Space group: No. 164
- Calculated volume: 14.9 Å³ per atom
- Magnetic moment: 0.00 μB/cell

a b c (Å): 5.5776 5.5776 6.6166
angles (deg): 90.00 90.00 120.00
Atoms (fractional coordinates):
O: 0.1540 0.8454 0.6678
O: 0.1546 0.3086 0.6678
Pb: 0.0000 0.0000 0.0000
O: 0.6667 0.3333 0.9860
Mo: 0.6667 0.3333 0.2541
O: 0.8460 0.1546 0.3322
O: 0.8454 0.6914 0.3322
O: 0.3086 0.1540 0.3322
O: 0.6914 0.8460 0.6678
Mo: 0.3333 0.6667 0.7459
Be: 0.0000 0.0000 0.5000
O: 0.3333 0.6667 0.0140